A plane-wave DFT calculation with PBE was carried out for LiCd2Cl5 after structural relaxation.

Lattice parameters (Å, degrees): 7.8889 10.6411 11.2644 90.00 90.00 90.00
With the nearest neighbours (Å) after each atom.
Atoms (fractional coordinates):
Li 0.0000 0.2553 0.2372  4 Cl 2.35-2.37
Li 0.5000 0.2447 0.7372  4 Cl 2.35-2.37
Li 0.5000 0.7553 0.2628  4 Cl 2.35-2.37
Li 0.0000 0.7447 0.7628  4 Cl 2.35-2.37
Cd 0.2542 0.0000 0.0000  6 Cl 2.63-2.74
Cd 0.7458 0.0000 0.0000  6 Cl 2.63-2.74
Cd 0.0000 0.1349 0.6261  5 Cl 2.52-2.75
Cd 0.5000 0.3651 0.1261  5 Cl 2.52-2.75
Cd 0.2458 0.5000 0.5000  6 Cl 2.63-2.74
Cd 0.7542 0.5000 0.5000  6 Cl 2.63-2.74
Cd 0.5000 0.6349 0.8739  5 Cl 2.52-2.75
Cd 0.0000 0.8651 0.3739  5 Cl 2.52-2.75
Cl 0.0000 0.0918 0.8671  3 Cd 2.69-2.75
Cl 0.5000 0.0587 0.8521  1 Li 2.36, 2 Cd 2.63
Cl 0.0000 0.1019 0.3872  1 Li 2.35, 1 Cd 2.52
Cl 0.2396 0.2281 0.1132  1 Li 2.37, 1 Cd 2.52
Cl 0.7604 0.2281 0.1132  1 Li 2.37, 1 Cd 2.52
Cl 0.2604 0.2719 0.6132  1 Li 2.37, 1 Cd 2.52
Cl 0.7396 0.2719 0.6132  1 Li 2.37, 1 Cd 2.52
Cl 0.5000 0.3981 0.8872  1 Li 2.35, 1 Cd 2.52
Cl 0.0000 0.4413 0.3521  1 Li 2.36, 2 Cd 2.63
Cl 0.5000 0.4082 0.3671  3 Cd 2.69-2.75
Cl 0.5000 0.5918 0.6329  3 Cd 2.69-2.75
Cl 0.0000 0.5587 0.6479  1 Li 2.36, 2 Cd 2.63
Cl 0.5000 0.6019 0.1128  1 Li 2.35, 1 Cd 2.52
Cl 0.2604 0.7281 0.3868  1 Li 2.37, 1 Cd 2.52
Cl 0.7396 0.7281 0.3868  1 Li 2.37, 1 Cd 2.52
Cl 0.2396 0.7719 0.8868  1 Li 2.37, 1 Cd 2.52
Cl 0.7604 0.7719 0.8868  1 Li 2.37, 1 Cd 2.52
Cl 0.0000 0.8981 0.6128  1 Li 2.35, 1 Cd 2.52
Cl 0.5000 0.9413 0.1479  1 Li 2.36, 2 Cd 2.63
Cl 0.0000 0.9082 0.1329  3 Cd 2.69-2.75

Energy above the lowest structure with this stoichiometry: 0.00 eV/f.u.
VASP energy: -2.859 eV per atom
Symmetry: No. 58
Formation energy without anion corrections: -1237 meV/atom
Magnetic moment: 0.0 Bohr magnetons per cell